An optimized crystal structure of ZrTeIr2, computed with PBE-GGA.

It has space group I4/mmm (No. 139), with a = 4.157 Å, b = 4.157 Å, c = 8.315 Å, α = 90.00°, β = 90.00° and γ = 90.00°. The inequivalent atoms are Zr at (0.000, 0.000, 0.000), Te at (0.000, 0.000, 0.500) and Ir at (0.000, 0.500, 0.250).

The value obtained for the density of states at the Fermi level is 4.9 states/eV/cell. As for the formation energy from raw total energies: -263 meV/atom.

***

An optimized crystal structure of ZrTeIr, computed with PBE-GGA.

It has space group P3m1 (No. 156), with a = 4.3896 Å, b = 4.3896 Å, c = 3.6929 Å, α = 90.00°, β = 90.00° and γ = 120.00°. The inequivalent atoms are Zr at (0.0000, 0.0000, 0.0000), Te at (0.6667, 0.3333, 0.5278) and Ir at (0.3333, 0.6667, 0.3870).

The value obtained for the density of states at the Fermi level is 2.0 states/eV/cell. As for the formation energy from raw total energies: -438 meV/atom.

***

An optimized crystal structure of ZrTeIr2, computed with PBE-GGA.

It has space group P4mm (No. 99), with a = 3.690 Å, b = 3.690 Å, c = 5.661 Å, α = 90.00°, β = 90.00° and γ = 90.00°. The inequivalent atoms are Zr at (0.000, 0.000, 0.000), Te at (0.500, 0.500, 0.640), Ir at (0.000, 0.000, 0.497) and Ir at (0.500, 0.500, 0.172).

The value obtained for the density of states at the Fermi level is 4.0 states/eV/cell. As for the formation energy from raw total energies: -151 meV/atom.

***

An optimized crystal structure of ZrTeIr2, computed with PBE-GGA.

It has space group P4/mmm (No. 123), with a = 4.188 Å, b = 4.188 Å, c = 4.089 Å, α = 90.00°, β = 90.00° and γ = 90.00°. The inequivalent atoms are Zr at (0.000, 0.000, 0.000), Te at (0.500, 0.500, 0.000) and Ir at (0.000, 0.500, 0.500).

The value obtained for the density of states at the Fermi level is 2.9 states/eV/cell. As for the formation energy from raw total energies: -221 meV/atom.

***

An optimized crystal structure of ZrTeIr2, computed with PBE-GGA.

It has space group Pmmm (No. 47), with a = 3.277 Å, b = 3.818 Å, c = 5.903 Å, α = 90.00°, β = 90.00° and γ = 90.00°. The inequivalent atoms are Zr at (0.000, 0.000, 0.000), Te at (0.000, 0.000, 0.500) and Ir at (0.500, 0.500, 0.235).

The value obtained for the density of states at the Fermi level is 3.5 states/eV/cell. As for the formation energy from raw total energies: -281 meV/atom.

***

An optimized crystal structure of Zr3TeIr, computed with PBE-GGA.

It has space group Pm-3m (No. 221), with a = 5.102 Å, b = 5.102 Å, c = 5.102 Å, α = 90.00°, β = 90.00° and γ = 90.00°. The inequivalent atoms are Zr at (0.000, 0.000, 0.500), Te at (0.500, 0.500, 0.500) and Ir at (0.000, 0.000, 0.000).

The value obtained for the density of states at the Fermi level is 4.6 states/eV/cell. As for the formation energy from raw total energies: -77 meV/atom.

***

An optimized crystal structure of ZrTeIr2, computed with PBE-GGA.

It has space group Cm (No. 8), with a = 9.917 Å, b = 3.747 Å, c = 4.338 Å, α = 90.00°, β = 115.92° and γ = 90.00°. The inequivalent atoms are Zr at (0.000, 0.000, 0.000), Te at (0.256, 0.500, 0.257), Ir at (0.227, 0.000, 0.727) and Ir at (0.472, 0.000, 0.471).

The value obtained for the density of states at the Fermi level is 5.2 states/eV/cell. As for the formation energy from raw total energies: -211 meV/atom.

***

An optimized crystal structure of ZrTeIr4, computed with PBE-GGA.

It has space group F-43m (No. 216), with a = 7.498 Å, b = 7.498 Å, c = 7.498 Å, α = 90.00°, β = 90.00° and γ = 90.00°. The inequivalent atoms are Zr at (0.000, 0.000, 0.000), Te at (0.250, 0.250, 0.750) and Ir at (0.125, 0.125, 0.375).

The value obtained for the density of states at the Fermi level is 29.8 states/eV/cell. As for the formation energy from raw total energies: -45 meV/atom.

***

An optimized crystal structure of ZrTeIr2, computed with PBE-GGA.

It has space group F-43m (No. 216), with a = 6.624 Å, b = 6.624 Å, c = 6.624 Å, α = 90.00°, β = 90.00° and γ = 90.00°. The inequivalent atoms are Zr at (0.000, 0.000, 0.000), Te at (0.250, 0.250, 0.750), Ir at (0.000, 0.000, 0.500) and Ir at (0.250, 0.250, 0.250).

The value obtained for the density of states at the Fermi level is 21.0 states/eV/cell. As for the formation energy from raw total energies: 33 meV/atom.

***

An optimized crystal structure of Th3Ir2, computed with PBE-GGA.

It has space group Pnma (No. 62), with a = 11.764 Å, b = 3.991 Å, c = 11.302 Å, α = 90.00°, β = 90.00° and γ = 90.00°. The inequivalent atoms are Th at (0.064, 0.250, 0.138), Th at (0.122, 0.750, 0.558), Th at (0.212, 0.250, 0.812), Ir at (0.009, 0.750, 0.321) and Ir at (0.173, 0.750, 0.989).

The value obtained for the density of states at the Fermi level is 17.4 states/eV/cell. The formation energy is -76.60 kJ/mol of atoms.

***

An optimized crystal structure of ThIr5, computed with PBE-GGA.

It has space group P6/mmm (No. 191), with a = 5.3297 Å, b = 5.3297 Å, c = 4.3722 Å, α = 90.00°, β = 90.00° and γ = 120.00°. The inequivalent atoms are Th at (0.0000, 0.0000, 0.0000), Ir at (0.0000, 0.5000, 0.5000) and Ir at (0.3333, 0.6667, 0.0000).

The value obtained for the density of states at the Fermi level is 6.7 states/eV/cell. The formation energy is -40.78 kJ/mol of atoms.

***

An optimized crystal structure of ThIr4, computed with PBE-GGA.

It has space group Cmcm (No. 63), with a = 6.430 Å, b = 10.508 Å, c = 5.630 Å, α = 90.00°, β = 90.00° and γ = 90.00°. The inequivalent atoms are Th at (0.000, 0.233, 0.250), Ir at (0.000, 0.096, 0.750), Ir at (0.000, 0.324, 0.750) and Ir at (0.204, 0.500, 0.000).

The value obtained for the density of states at the Fermi level is 15.4 states/eV/cell. The formation energy is -39.03 kJ/mol of atoms.